DFT (PBE+U) results for crystalline ZnCoO3 at its relaxed geometry.

Values from the calculation:
The uncorrected energy comes out at -0.15809 Ha/atom. For the volume, the calculation gives 10.79 Å³/atom.

Cell: 3.7782 3.7782 3.7782 Å, 90.00 90.00 90.00°
Element x y z (fractional)
Co (0.0000, 0.0000, 0.0000)
O (0.5000, 0.5000, 0.0000)
O (0.5000, 0.0000, 0.5000)
O (0.0000, 0.5000, 0.5000)
Zn (0.5000, 0.5000, 0.5000)